Entry from the Alexandria database: a relaxed CeGdRu crystal (PBE-GGA).

Unit cell a=3.488 b=4.723 c=4.723 alpha=120.00 beta=90.00 gamma=90.00
Last column: magnetic moment on the atom in μB.
Atoms (fractional coordinates):
Ru: 0.317 0.667 0.333  -0.07
Gd: 0.643 0.333 0.667  7.00
Ce: 0.040 0.000 0.000  -0.21

Computed properties:
raw total energy: -9.86 eV per atom